No. 1
Here is a relaxed structure of La2PmDy5Th from the Alexandria database. Energies are from PBE.

Properties
energy of formation from the pure elements: 0.16 eV/atom
crystal system: orthorhombic
DOS at the Fermi energy: 1.444 states/eV per atom
V: 33.82 Å³/atom
space-group type: No. 36
spin magnetization: 0.000 μB/atom

a b c (Å): 5.682 10.455 10.647
angles (deg): 90.00 90.00 105.77
Positions (direct):
La 0.884 0.767 0.820
La 0.117 0.233 0.729
La 0.116 0.233 0.320
La 0.883 0.767 0.229
Pm 0.587 0.174 0.954
Pm 0.413 0.826 0.454
Dy 0.390 0.781 0.024
Dy 0.721 0.443 0.813
Dy 0.479 0.958 0.738
Dy 0.299 0.597 0.709
Dy 0.983 0.966 0.525
Dy 0.610 0.219 0.524
Dy 0.279 0.557 0.313
Dy 0.521 0.042 0.238
Dy 0.701 0.403 0.209
Dy 0.017 0.034 0.025
Th 0.798 0.595 0.511
Th 0.202 0.405 0.011

***

No. 2
Here is a relaxed structure of LaPm5Dy2Th from the Alexandria database. Energies are from PBE.

Properties
energy of formation from the pure elements: 0.16 eV/atom
crystal system: orthorhombic
DOS at the Fermi energy: 1.452 states/eV per atom
V: 34.24 Å³/atom
space-group type: No. 36
spin magnetization: 0.000 μB/atom

a b c (Å): 5.726 10.532 10.618
angles (deg): 90.00 90.00 105.77
Positions (direct):
La 0.586 0.171 0.946
La 0.414 0.829 0.446
Pm 0.386 0.772 0.027
Pm 0.722 0.445 0.816
Pm 0.478 0.956 0.739
Pm 0.293 0.585 0.704
Pm 0.984 0.968 0.525
Pm 0.614 0.228 0.527
Pm 0.278 0.555 0.316
Pm 0.522 0.044 0.239
Pm 0.707 0.415 0.204
Pm 0.016 0.032 0.025
Dy 0.885 0.769 0.819
Dy 0.113 0.226 0.734
Dy 0.115 0.231 0.319
Dy 0.887 0.774 0.234
Th 0.800 0.601 0.513
Th 0.200 0.399 0.013